Entry 1:
Compound: Ba2SnPtI
Source: Alexandria
Functional: GGA-PBE
Structure: optimized geometry

Formation energy (no corrections) in kJ/mol of formula units: -447
Symmetry: P4/mmm (123)

Lattice parameters (Å, degrees): 6.3895 6.3895 5.0232 90.00 90.00 90.00
Sites, in units of the cell vectors:
I  0.5000  0.5000  0.5000
Ba  0.0000  0.5000  0.0000
Ba  0.5000  0.0000  0.0000
Pt  0.0000  0.0000  0.0000
Sn  0.0000  0.0000  0.5000

***

Entry 2:
Compound: PmBeTl2F6
Source: Alexandria
Functional: GGA-PBE
Structure: optimized geometry

Formation energy (no corrections) in kJ/mol of formula units: -2570
Symmetry: C2/m (12)

Lattice parameters (Å, degrees): 5.5832 5.5831 7.2867 66.27 66.27 90.01
Sites, in units of the cell vectors:
Pm  0.0000  0.0000  0.0000
Be  0.5000  0.5000  0.0000
Tl  0.7547  0.2453  0.5000
Tl  0.2453  0.7547  0.5000
F  0.1898  0.1898  0.6266
F  0.7068  0.7068  0.0043
F  0.2909  0.7090  0.0000
F  0.7090  0.2910  0.0000
F  0.2932  0.2932  0.9957
F  0.8102  0.8102  0.3734

***

Entry 3:
Compound: SrCa2AcPd
Source: Alexandria
Functional: GGA-PBE
Structure: optimized geometry

Electronic total energy in eV per cell: -16.56
Symmetry: P4/mmm (123)

Lattice parameters (Å, degrees): 5.8819 5.8550 5.8550 90.00 90.00 90.00
Sites, in units of the cell vectors:
Sr  0.5000  0.5000  0.5000
Ca  0.0000  0.0000  0.5000
Ca  0.0000  0.5000  0.0000
Ac  0.5000  0.0000  0.0000
Pd  0.0000  0.0000  0.0000

***

Magnetic moment values, unit μB per formula unit, following the record order: 0.000 0.000 0.000.